Entry from the Alexandria database: a relaxed Pm4Nd7Sc crystal (PBE).

```
data_Pm4Nd7Sc
_cell_length_a 16.424
_cell_length_b 6.025
_cell_length_c 9.438
_cell_angle_alpha 90.00
_cell_angle_beta 116.64
_cell_angle_gamma 90.00
_symmetry_space_group_name_H-M 'C 1 2/m 1'
_symmetry_Int_Tables_number 12
loop_
_symmetry_equiv_pos_as_xyz
'x,y,z'
'-x,-y,-z'
'-x,y,-z'
'x,-y,z'
'x+1/2,y+1/2,z'
'-x+1/2,-y+1/2,-z'
'-x+1/2,y+1/2,-z'
'x+1/2,-y+1/2,z'
loop_
_atom_site_label
_atom_site_fract_x
_atom_site_fract_y
_atom_site_fract_z
Pm1 0.085 0.000 0.448
Pm2 0.209 0.000 0.229
Nd1 0.000 0.000 0.000
Nd2 0.073 0.500 0.711
Nd3 0.167 0.500 0.385
Nd4 0.218 0.000 0.880
Sc1 0.000 0.500 0.000
```

Properties
polymorph energy (0 for the lowest one)	2.28	eV per formula unit
total magnetization	0.6	μB/cell
DOS(E_F)	20.8	states/eV/f.u.